## CsMoI2O (PBE with a Hubbard U)

Data for a relaxed structure of CsMoI2O.

Total magnetization (Bohr magnetons per cell): 3.000
Final energy (eV per atom): -4.128
Fermi-level density of states (states/eV per atom): 0.311
Excess energy over the best structure of this formula in the dataset (eV per atom): 0.000

Cell lengths 6.324, 6.324, 4.015 Å; angles 90.00, 90.00, 90.00 degrees
Last column: magnetic moment on the atom in μB.
Positions (direct):
Cs 0.500 0.500 0.500  0.00
I 0.000 0.500 0.000  -0.02
I 0.500 0.000 0.000  -0.02
Mo 0.000 0.000 0.000  2.99
O 0.000 0.000 0.500  -0.23